Crystalline AuCl at its relaxed geometry. Source: Alexandria, functional GGA-PBE.

Cell: 3.7284 9.8651 10.4310 Å, 90.00 90.00 90.00°
Closest atoms and distances in Å follow each position.
Space group Pmmn (No. 59, origin choice 2)
Inequivalent atoms, fractional coordinates:
Au 0.2500 0.1003 0.1451 [4 per cell]  2 Cl 2.31-2.34
Au 0.2500 0.7500 0.3181 [2 per cell]  2 Cl 2.31
Cl 0.2500 0.2500 0.9707 [2 per cell]  2 Au 2.34
Cl 0.2500 0.5169 0.3369 [4 per cell]  2 Au 2.31

Calculated values
As for the energy relative to the elements, uncorrected: -3.3 kcal/mol of atoms. As for the total magnetization: 0.00 μB/f.u.